SrTbWO6 PBE+U relaxed; space group = No. 149; total energy = -65.84 eV for the cell shown
1.0
-1.374 0.464 -5.490
4.002 -0.573 -3.987
-0.930 -5.108 -0.199
O W Tb Sr
6 1 1 1
Cartesian
-0.945 -1.221 -3.593
-0.966 -3.491 -2.201
1.737 -3.959 -2.818
1.712 -1.673 -4.395
1.052 -1.659 -1.662
-0.124 -3.540 -4.883
0.411 -2.590 -3.259
1.287 -2.627 -6.418
-2.304 -4.645 -5.689